# 1
A relaxed ErSiHg crystal. Source: OQMD via LeMat-Bulk, functional PBE.

## Properties
Total magnetic moment   0.002 μB/atom
Offset from the most stable computed form   173.1 meV per atom
Calculated total energy   -3.462 eV per atom

Lattice parameters (Å, degrees): 4.792 4.792 4.792 60.00 60.00 60.00
Fractional coordinates of all 3 atoms:
Hg1 0.250 0.250 0.250
Si1 0.750 0.750 0.750
Er1 0.000 0.000 0.000

---

# 2
A relaxed SmErHg crystal. Source: OQMD via LeMat-Bulk, functional PBE.

## Properties
Total magnetic moment   0.011 μB/atom
Energy relative to the elements   -105 meV per atom
Offset from the most stable computed form   247.4 meV per atom
Calculated total energy   -3.296 eV per atom

Lattice parameters (Å, degrees): 5.121 5.121 5.121 60.00 60.00 60.00
Fractional coordinates of all 3 atoms:
Sm1 0.750 0.750 0.750
Hg1 0.000 0.000 0.000
Er1 0.250 0.250 0.250

---

# 3
A relaxed SmErHg4 crystal. Source: OQMD via LeMat-Bulk, functional PBE.

## Properties
Total magnetic moment   0.003 μB/atom
Energy relative to the elements   -391 meV per atom
Calculated total energy   -2.135 eV per atom

Lattice parameters (Å, degrees): 3.401 4.959 8.603 90.00 90.01 90.00
Fractional coordinates of all 6 atoms:
Hg1 0.497 0.000 0.670
Hg2 0.503 0.000 0.330
Hg3 0.497 0.500 0.164
Hg4 0.503 0.500 0.836
Er1 0.000 0.000 0.000
Sm1 0.000 0.500 0.500

---

# 4
A relaxed SmErHg crystal. Source: OQMD via LeMat-Bulk, functional PBE.

## Properties
Total magnetic moment   0.002 μB/atom
Energy relative to the elements   -353 meV per atom
Offset from the most stable computed form   0.0 meV per atom
Calculated total energy   -3.543 eV per atom

Lattice parameters (Å, degrees): 7.241 5.067 9.235 90.00 90.00 90.00
Fractional coordinates of all 12 atoms:
Er1 0.663 0.750 0.426
Er2 0.837 0.250 0.926
Er3 0.337 0.250 0.574
Er4 0.163 0.750 0.074
Hg1 0.247 0.750 0.396
Hg2 0.253 0.250 0.896
Hg3 0.747 0.750 0.104
Hg4 0.753 0.250 0.604
Sm1 0.516 0.750 0.810
Sm2 0.016 0.750 0.690
Sm3 0.984 0.250 0.310
Sm4 0.484 0.250 0.190

---

# 5
A relaxed ErSnHg crystal. Source: OQMD via LeMat-Bulk, functional PBE.

## Properties
Total magnetic moment   0.001 μB/atom
Calculated total energy   -3.178 eV per atom

Lattice parameters (Å, degrees): 5.009 5.009 5.009 60.00 60.00 60.00
Fractional coordinates of all 3 atoms:
Sn1 0.750 0.750 0.750
Er1 0.000 0.000 0.000
Hg1 0.250 0.250 0.250

---

# 6
A relaxed SrErHg6 crystal. Source: OQMD via LeMat-Bulk, functional PBE.

## Properties
Total magnetic moment   0.002 μB/atom
Calculated total energy   -1.342 eV per atom

Lattice parameters (Å, degrees): 6.672 6.672 5.085 90.00 90.00 120.00
Fractional coordinates of all 8 atoms:
Er1 0.000 0.000 0.000
Hg1 0.835 0.670 0.500
Hg2 0.330 0.165 0.500
Hg3 0.985 0.493 0.000
Hg4 0.835 0.165 0.500
Hg5 0.507 0.015 0.000
Hg6 0.507 0.493 0.000
Sr1 0.333 0.667 0.500

---

# 7
A relaxed SrErHg crystal. Source: OQMD via LeMat-Bulk, functional PBE.

## Properties
Total magnetic moment   0.000 μB/atom
Calculated total energy   -1.856 eV per atom

Lattice parameters (Å, degrees): 5.159 5.159 5.159 60.00 60.00 60.00
Fractional coordinates of all 3 atoms:
Er1 0.000 0.000 0.000
Sr1 0.750 0.750 0.750
Hg1 0.250 0.250 0.250

---

# 8
A relaxed TbEr4Hg5 crystal. Source: OQMD via LeMat-Bulk, functional PBE.

## Properties
Total magnetic moment   0.020 μB/atom
Energy relative to the elements   -483 meV per atom
Calculated total energy   -2.920 eV per atom

Lattice parameters (Å, degrees): 3.685 3.685 18.491 90.00 90.00 90.00
Site moments in Bohr magnetons follow the coordinates.
Fractional coordinates of all 10 atoms:
Tb1 0.000 0.000 0.000  -0.08
Hg1 0.500 0.500 0.103  0.00
Hg2 0.500 0.500 0.699  0.00
Hg3 0.500 0.500 0.301  0.00
Hg4 0.500 0.500 0.500  0.00
Hg5 0.500 0.500 0.897  0.00
Er1 0.000 0.000 0.401  -0.01
Er2 0.000 0.000 0.798  0.00
Er3 0.000 0.000 0.202  0.00
Er4 0.000 0.000 0.599  -0.01

---

# 9
A relaxed ErTlHgTe3 crystal. Source: OQMD via LeMat-Bulk, functional PBE.

## Properties
Total magnetic moment   0.002 μB/atom
Offset from the most stable computed form   60.8 meV per atom
Calculated total energy   -3.418 eV per atom

Lattice parameters (Å, degrees): 10.003 10.003 9.553 102.23 102.23 25.25
Fractional coordinates of all 12 atoms:
Hg1 0.464 0.464 0.278
Hg2 0.536 0.536 0.722
Te1 0.000 0.000 0.500
Te2 0.500 0.500 0.000
Te3 0.667 0.667 0.364
Te4 0.333 0.333 0.636
Te5 0.314 0.314 0.184
Te6 0.686 0.686 0.816
Tl1 0.133 0.133 0.076
Tl2 0.867 0.867 0.924
Er1 0.175 0.175 0.586
Er2 0.825 0.825 0.414

---

# 10
A relaxed ErTlHgTe3 crystal. Source: OQMD via LeMat-Bulk, functional PBE.

## Properties
Total magnetic moment   0.002 μB/atom
Offset from the most stable computed form   13.5 meV per atom
Calculated total energy   -3.465 eV per atom

Lattice parameters (Å, degrees): 8.696 4.417 11.059 90.00 107.73 90.00
Fractional coordinates of all 12 atoms:
Tl1 0.738 0.750 0.213
Tl2 0.262 0.250 0.787
Te1 0.064 0.250 0.366
Te2 0.264 0.750 0.058
Te3 0.736 0.250 0.942
Te4 0.444 0.750 0.643
Te5 0.936 0.750 0.634
Te6 0.556 0.250 0.357
Er1 0.689 0.250 0.643
Er2 0.311 0.750 0.357
Hg1 0.082 0.250 0.117
Hg2 0.918 0.750 0.883

---

# 11
A relaxed ErTlHgTe3 crystal. Source: OQMD via LeMat-Bulk, functional PBE.

## Properties
Total magnetic moment   0.001 μB/atom
Offset from the most stable computed form   2.4 meV per atom
Calculated total energy   -3.476 eV per atom

Lattice parameters (Å, degrees): 11.585 4.430 15.183 90.00 90.00 90.00
Fractional coordinates of all 24 atoms:
Te1 0.734 0.750 0.665
Te2 0.439 0.250 0.607
Te3 0.266 0.250 0.335
Te4 0.531 0.250 0.883
Te5 0.031 0.250 0.617
Te6 0.469 0.750 0.117
Te7 0.939 0.250 0.893
Te8 0.061 0.750 0.107
Te9 0.969 0.750 0.383
Te10 0.766 0.250 0.165
Te11 0.561 0.750 0.393
Te12 0.234 0.750 0.835
Er1 0.017 0.250 0.246
Er2 0.983 0.750 0.754
Er3 0.517 0.250 0.254
Er4 0.483 0.750 0.746
Tl1 0.772 0.250 0.487
Tl2 0.272 0.250 0.013
Tl3 0.728 0.750 0.987
Tl4 0.228 0.750 0.513
Hg1 0.259 0.750 0.213
Hg2 0.241 0.250 0.713
Hg3 0.759 0.750 0.287
Hg4 0.741 0.250 0.787

---

# 12
A relaxed ErTlHgTe3 crystal. Source: OQMD via LeMat-Bulk, functional PBE.

## Properties
Total magnetic moment   0.001 μB/atom
Offset from the most stable computed form   3.3 meV per atom
Calculated total energy   -3.475 eV per atom

Lattice parameters (Å, degrees): 4.465 11.707 15.047 90.00 90.00 90.00
Fractional coordinates of all 24 atoms:
Er1 0.750 0.480 0.758
Er2 0.250 0.520 0.242
Er3 0.250 0.020 0.258
Er4 0.750 0.980 0.742
Te1 0.250 0.529 0.621
Te2 0.750 0.471 0.379
Te3 0.250 0.029 0.879
Te4 0.750 0.732 0.834
Te5 0.750 0.065 0.397
Te6 0.250 0.268 0.166
Te7 0.250 0.435 0.897
Te8 0.750 0.565 0.103
Te9 0.750 0.971 0.121
Te10 0.750 0.232 0.666
Te11 0.250 0.935 0.603
Te12 0.250 0.768 0.334
Hg1 0.250 0.242 0.787
Hg2 0.750 0.258 0.287
Hg3 0.250 0.742 0.713
Hg4 0.750 0.758 0.213
Tl1 0.750 0.215 0.989
Tl2 0.750 0.715 0.511
Tl3 0.250 0.785 0.011
Tl4 0.250 0.285 0.489

---

- Which value of total magnetic moment does entry 11 give?
  0.001 μB/atom

---

- Among the records above, which one has the lowest total magnetic moment?
  SrErHg

---

- Which of these has the lowest total magnetic moment?
  SrErHg